(1)
The following is a GGA-PBE calculation of an optimized crystal structure of Nd4Sm5, from Alexandria.

Computed properties:
For the density of states at the Fermi level, the calculation gives 19.24 states/eV/f.u. The energy above the most stable polymorph in this dataset is 0.096 eV/atom. The final energy comes out at -41.7 eV for the cell shown.

Cell: 9.2934 9.2934 9.2934 Å, 92.31 92.31 156.84°
Last column: nearest neighbours and their distance in Å.
Sites, in units of the cell vectors:
1 Nd 0.0000 0.3313 0.3313  4 Sm 3.55, 6 Nd 3.59-3.73
2 Nd 0.0000 0.6687 0.6687  4 Sm 3.55, 6 Nd 3.59-3.73
3 Nd 0.3313 0.0000 0.3313  4 Sm 3.55, 6 Nd 3.59-3.73
4 Nd 0.6687 0.0000 0.6687  4 Sm 3.55, 6 Nd 3.59-3.73
5 Sm 0.0000 0.0000 0.0000  10 Sm 3.56-3.73
6 Sm 0.3337 0.3337 0.6674  4 Nd 3.55, 6 Sm 3.56-3.73
7 Sm 0.3337 0.6663 0.0000  4 Nd 3.55, 6 Sm 3.56-3.73
8 Sm 0.6663 0.3337 0.0000  4 Nd 3.55, 6 Sm 3.56-3.73
9 Sm 0.6663 0.6663 0.3326  4 Nd 3.55, 6 Sm 3.56-3.73

---

(2)
The following is a GGA-PBE calculation of an optimized crystal structure of Nd3Sm, from Alexandria.

Computed properties:
For the density of states at the Fermi level, the calculation gives 6.47 states/eV/f.u. The energy above the most stable polymorph in this dataset is 0.001 eV/atom. The final energy comes out at -19.0 eV for the cell shown.

Cell: 6.3658 6.3658 6.3658 Å, 131.91 131.91 70.37°
Last column: nearest neighbours and their distance in Å.
Sites, in units of the cell vectors:
1 Nd 0.0000 0.0000 0.0000  4 Sm 3.67, 8 Nd 3.67
2 Nd 0.2500 0.7500 0.5000  8 Nd 3.67, 4 Sm 3.67
3 Nd 0.7500 0.2500 0.5000  8 Nd 3.67, 4 Sm 3.67
4 Sm 0.5000 0.5000 0.0000  12 Nd 3.67

---

(3)
The following is a GGA-PBE calculation of an optimized crystal structure of Nd3Sm13, from Alexandria.

Computed properties:
For the density of states at the Fermi level, the calculation gives 24.73 states/eV/f.u. The energy above the most stable polymorph in this dataset is 0.000 eV/atom. The final energy comes out at -75.4 eV for the cell shown.

Cell: 10.2680 7.2845 7.2845 Å, 90.00 90.00 90.00°
Last column: nearest neighbours and their distance in Å.
Sites, in units of the cell vectors:
1 Nd 0.0000 0.0000 0.0000  10 Sm 3.63-3.65, 2 Nd 3.65
2 Nd 0.2504 0.2512 0.2512  11 Sm 3.63-3.65, 1 Nd 3.65
3 Nd 0.7496 0.2512 0.2512  11 Sm 3.63-3.65, 1 Nd 3.65
4 Sm 0.0000 0.0005 0.5013  4 Nd 3.63-3.65, 8 Sm 3.63-3.65
5 Sm 0.0000 0.5013 0.0005  4 Nd 3.63-3.65, 8 Sm 3.63-3.65
6 Sm 0.0000 0.5018 0.5018  10 Sm 3.63-3.65, 2 Nd 3.64
7 Sm 0.2505 0.2511 0.7506  9 Sm 3.63-3.65, 3 Nd 3.64-3.65
8 Sm 0.2505 0.7506 0.2511  9 Sm 3.63-3.65, 3 Nd 3.64-3.65
9 Sm 0.2504 0.7506 0.7506  11 Sm 3.63-3.65, 1 Nd 3.64
10 Sm 0.5000 0.0002 0.0002  10 Sm 3.63-3.65, 2 Nd 3.64
11 Sm 0.5000 0.0002 0.5015  10 Sm 3.63-3.65, 2 Nd 3.64
12 Sm 0.5000 0.5015 0.0002  10 Sm 3.63-3.65, 2 Nd 3.64
13 Sm 0.5000 0.5014 0.5014  10 Sm 3.63-3.65, 2 Nd 3.63
14 Sm 0.7495 0.2511 0.7506  9 Sm 3.63-3.65, 3 Nd 3.64-3.65
15 Sm 0.7495 0.7506 0.2511  9 Sm 3.63-3.65, 3 Nd 3.64-3.65
16 Sm 0.7496 0.7506 0.7506  11 Sm 3.63-3.65, 1 Nd 3.64

---

(4)
The following is a GGA-PBE calculation of an optimized crystal structure of Nd5Sm7, from Alexandria.

Computed properties:
For the density of states at the Fermi level, the calculation gives 15.94 states/eV/f.u. The energy above the most stable polymorph in this dataset is 0.000 eV/atom. The final energy comes out at -56.8 eV for the cell shown.

Cell: 9.7028 9.7028 13.4227 Å, 117.70 117.70 21.78°
Last column: nearest neighbours and their distance in Å.
Sites, in units of the cell vectors:
1 Nd 0.0000 0.0000 0.0000  10 Sm 3.63-3.67, 2 Nd 3.67
2 Nd 0.1661 0.1661 0.4988  6 Sm 3.62-3.66, 6 Nd 3.65-3.67
3 Nd 0.3057 0.3057 0.2494  8 Sm 3.62-3.67, 4 Nd 3.65-3.67
4 Nd 0.6943 0.6943 0.7506  8 Sm 3.62-3.67, 4 Nd 3.65-3.67
5 Nd 0.8339 0.8339 0.5012  6 Sm 3.62-3.66, 6 Nd 3.65-3.67
6 Sm 0.0272 0.0272 0.7499  4 Nd 3.62-3.67, 8 Sm 3.63-3.67
7 Sm 0.3336 0.3336 0.0011  5 Nd 3.62-3.67, 7 Sm 3.63-3.67
8 Sm 0.3612 0.3612 0.7508  7 Nd 3.63-3.67, 5 Sm 3.64-3.67
9 Sm 0.5000 0.5000 0.5000  6 Nd 3.64-3.66, 6 Sm 3.64-3.67
10 Sm 0.6388 0.6388 0.2492  7 Nd 3.63-3.67, 5 Sm 3.64-3.67
11 Sm 0.6664 0.6664 0.9989  5 Nd 3.62-3.67, 7 Sm 3.63-3.67
12 Sm 0.9728 0.9728 0.2501  4 Nd 3.62-3.67, 8 Sm 3.63-3.67

---

(5)
The following is a GGA-PBE calculation of an optimized crystal structure of Nd5Sm4, from Alexandria.

Computed properties:
For the density of states at the Fermi level, the calculation gives 14.07 states/eV/f.u. The final energy comes out at -42.6 eV for the cell shown.

Cell: 8.1797 8.1797 8.1797 Å, 95.74 95.74 143.12°
Last column: nearest neighbours and their distance in Å.
Sites, in units of the cell vectors:
1 Nd 0.0000 0.0000 0.0000  4 Nd 3.65, 8 Sm 3.66
2 Nd 0.0000 0.3327 0.3327  6 Nd 3.65-3.67, 6 Sm 3.65-3.66
3 Nd 0.0000 0.6673 0.6673  6 Nd 3.65-3.67, 6 Sm 3.65-3.66
4 Nd 0.3327 0.0000 0.3327  6 Nd 3.65-3.67, 6 Sm 3.65-3.66
5 Nd 0.6673 0.0000 0.6673  6 Nd 3.65-3.67, 6 Sm 3.65-3.66
6 Sm 0.3333 0.3333 0.6666  8 Nd 3.65-3.66, 4 Sm 3.66
7 Sm 0.3333 0.6667 0.0000  8 Nd 3.65-3.66, 4 Sm 3.66
8 Sm 0.6667 0.3333 0.0000  8 Nd 3.65-3.66, 4 Sm 3.66
9 Sm 0.6667 0.6667 0.3334  8 Nd 3.65-3.66, 4 Sm 3.66

---

(6)
The following is a GGA-PBE calculation of an optimized crystal structure of Nd4Sm, from Alexandria.

Computed properties:
For the density of states at the Fermi level, the calculation gives 6.79 states/eV/f.u. The energy above the most stable polymorph in this dataset is 0.000 eV/atom. The final energy comes out at -23.7 eV for the cell shown.

Cell: 3.6735 3.6735 15.1167 Å, 96.99 96.99 59.89°
Last column: nearest neighbours and their distance in Å.
Sites, in units of the cell vectors:
1 Nd 0.1012 0.1012 0.3015  3 Sm 3.65, 9 Nd 3.67-3.69
2 Nd 0.3006 0.3006 0.8996  12 Nd 3.67-3.69
3 Nd 0.6994 0.6994 0.1004  12 Nd 3.67-3.69
4 Nd 0.8988 0.8988 0.6985  3 Sm 3.65, 9 Nd 3.67-3.69
5 Sm 0.5000 0.5000 0.5000  6 Nd 3.65, 6 Sm 3.67

---

(7)
The following is a GGA-PBE calculation of an optimized crystal structure of Nd5Sm7, from Alexandria.

Computed properties:
For the density of states at the Fermi level, the calculation gives 19.94 states/eV/f.u. The energy above the most stable polymorph in this dataset is 0.161 eV/atom. The final energy comes out at -54.9 eV for the cell shown.

Cell: 5.6904 5.6904 14.9414 Å, 102.45 102.45 62.94°
Last column: nearest neighbours and their distance in Å.
Sites, in units of the cell vectors:
1 Nd 0.0000 0.0000 0.0000  6 Sm 3.13-3.50
2 Nd 0.1323 0.1323 0.4370  5 Sm 3.22-3.46, 1 Nd 3.55
3 Nd 0.3730 0.3730 0.2007  6 Sm 3.33-3.71
4 Nd 0.6270 0.6270 0.7993  6 Sm 3.33-3.71
5 Nd 0.8677 0.8677 0.5630  5 Sm 3.22-3.46, 1 Nd 3.55
6 Sm 0.0353 0.0353 0.2141  5 Nd 3.13-3.34
7 Sm 0.2474 0.2474 0.6718  5 Nd 3.40-3.71, 4 Sm 3.54-3.79
8 Sm 0.3224 0.3224 0.9161  6 Nd 3.50-3.79, 3 Sm 3.53-3.72
9 Sm 0.5000 0.5000 0.5000  6 Nd 3.45-3.46
10 Sm 0.6776 0.6776 0.0839  6 Nd 3.50-3.79, 3 Sm 3.53-3.72
11 Sm 0.7526 0.7526 0.3282  5 Nd 3.40-3.71, 4 Sm 3.54-3.79
12 Sm 0.9647 0.9647 0.7859  5 Nd 3.13-3.34

---

(8)
The following is a GGA-PBE calculation of an optimized crystal structure of Nd3Sm, from Alexandria.

Computed properties:
For the density of states at the Fermi level, the calculation gives 6.63 states/eV/f.u. The energy above the most stable polymorph in this dataset is 0.000 eV/atom. The final energy comes out at -19.0 eV for the cell shown.

Cell: 5.1834 5.1834 5.1834 Å, 90.00 90.00 90.00°
Last column: nearest neighbours and their distance in Å.
Sites, in units of the cell vectors:
1 Nd 0.0000 0.0000 0.5000  8 Nd 3.67, 4 Sm 3.67
2 Nd 0.0000 0.5000 0.0000  8 Nd 3.67, 4 Sm 3.67
3 Nd 0.5000 0.0000 0.0000  8 Nd 3.67, 4 Sm 3.67
4 Sm 0.5000 0.5000 0.5000  12 Nd 3.67